Hf5As4H, optimized geometry, DFT PBE; E = -7.8704 eV per atom
1.0
5.3628 0.0000 0.0000
2.6814 5.8697 0.0000
2.6814 0.0000 5.8697
Hf As H
5 4 1
Direct
0.8946 0.3640 0.8317 Hf
0.2585 0.8317 0.6360 Hf
0.7262 0.1683 0.3640 Hf
0.0902 0.6360 0.1683 Hf
0.4771 0.0000 0.0000 Hf
0.4067 0.3957 0.7758 As
0.8024 0.7758 0.6043 As
0.1825 0.2242 0.3957 As
0.5782 0.6043 0.2242 As
0.0939 0.0000 0.0000 H